No. 1
The following is a PBE calculation of a relaxed structure of NaNdSn2Br8, from the Alexandria database.

Unit cell a=6.8344 b=8.8539 c=7.2078 alpha=90.00 beta=91.18 gamma=90.00
With the nearest neighbours (Å) after each atom.
Space group P2/m (No. 10)
Inequivalent atoms, fractional coordinates:
Na: 0.0000 0.0000 0.0000  6 Br 2.99-3.13
Nd: 0.0000 0.5000 0.0000  6 Br 2.92
Sn: 0.5000 0.2416 0.5000  6 Br 2.89-3.15
Br: 0.2358 0.2555 0.1577  1 Nd 2.92, 1 Na 2.99, 1 Sn 3.03
Br: 0.2447 0.5000 0.6730  1 Nd 2.92, 2 Sn 3.15
Br: 0.2710 0.0000 0.6554  2 Sn 2.89, 1 Na 3.13

The value obtained for the density of states at the Fermi level is 0.000 states/eV/atom. As for the energy: -3.54 eV/atom.


No. 2
The following is a PBE calculation of a relaxed structure of ScCu2Ru, from the Alexandria database.

Unit cell a=2.7689 b=2.7689 c=26.8089 alpha=90.00 beta=90.00 gamma=120.00
With the nearest neighbours (Å) after each atom.
Space group R-3m (No. 166, hexagonal axes)
Inequivalent atoms, fractional coordinates:
Sc: 0.0000 0.0000 0.0000  6 Sc 2.77, 6 Cu 2.83
Cu: 0.0000 0.0000 0.2462  3 Ru 2.66, 6 Cu 2.77, 3 Sc 2.83
Ru: 0.0000 0.0000 0.5000  6 Cu 2.66, 6 Ru 2.77

The value obtained for the density of states at the Fermi level is 0.847 states/eV/atom. Its formation enthalpy at 0 K is 29 kJ per mole of atoms. The energy relative to the lowest polymorph listed for this composition comes out at 2.01 eV per formula unit.


No. 3
The following is a PBE calculation of a relaxed structure of Pm2DyY5Er, from the Alexandria database.

Unit cell a=8.6537 b=8.6537 c=15.6716 alpha=90.00 beta=90.00 gamma=90.00
With the nearest neighbours (Å) after each atom.
Space group I4/mcm (No. 140)
Inequivalent atoms, fractional coordinates:
Pm: 0.1171 0.3829 0.0000  1 Pm 2.87, 2 Y 3.03
Dy: 0.0000 0.0000 0.2500  10 Y 3.55-3.92
Y: 0.0000 0.0000 0.0000  4 Pm 3.47, 8 Y 3.79
Y: 0.2107 0.2893 0.3610  1 Pm 3.03, 1 Er 3.11
Er: 0.0000 0.5000 0.2500  4 Y 3.11

The value obtained for the density of states at the Fermi level is 1.341 states/eV/atom. Its formation enthalpy at 0 K is 25 kJ per mole of atoms.


No. 4
The following is a PBE calculation of a relaxed structure of MgBe, from the Alexandria database.

Unit cell a=2.9002 b=4.4114 c=4.7318 alpha=90.00 beta=90.00 gamma=90.00
With the nearest neighbours (Å) after each atom.
Space group Pmmn (No. 59, origin choice 2)
Inequivalent atoms, fractional coordinates:
Mg: 0.2500 0.2500 0.1097  6 Be 2.64-2.88, 6 Mg 2.84-2.90
Be: 0.2500 0.7500 0.4150  6 Mg 2.64-2.88, 6 Be 2.76-2.90

The value obtained for the density of states at the Fermi level is 0.133 states/eV/atom. Its formation enthalpy at 0 K is 46 kJ per mole of atoms. The energy relative to the lowest polymorph listed for this composition comes out at 0.53 eV per formula unit.


No. 5
The following is a PBE calculation of a relaxed structure of Fe2AgPdN, from the Alexandria database.

Unit cell a=3.8703 b=3.8703 c=4.2841 alpha=90.00 beta=90.00 gamma=90.00
With the nearest neighbours (Å) after each atom.
Space group P4/mmm (No. 123)
Inequivalent atoms, fractional coordinates:
Fe: 0.0000 0.5000 0.0000  2 N 1.94
Ag: 0.0000 0.0000 0.5000  4 Pd 2.74, 8 Fe 2.89
Pd: 0.5000 0.5000 0.5000  2 N 2.14
N: 0.5000 0.5000 0.0000  4 Fe 1.94, 2 Pd 2.14

The value obtained for the density of states at the Fermi level is 0.638 states/eV/atom. As for the energy: -6.58 eV/atom.


No. 6
The following is a PBE calculation of a relaxed structure of Fe2AgW, from the Alexandria database.

Unit cell a=2.8600 b=4.4098 c=8.9181 alpha=90.00 beta=90.00 gamma=90.00
With the nearest neighbours (Å) after each atom.
Space group Imm2 (No. 44)
Inequivalent atoms, fractional coordinates:
Fe: 0.0000 0.0000 0.0000  2 Fe 2.39, 2 W 2.61, 4 Ag 2.64
Fe: 0.0000 0.5000 0.2853  2 Fe 2.39, 4 W 2.65
Ag: 0.0000 0.0000 0.5265  6 Fe 2.64-2.72, 2 Ag 2.86, 4 W 2.89-2.95
W: 0.0000 0.5000 0.7455  6 Fe 2.61-2.65, 2 W 2.86, 2 Ag 2.89

The value obtained for the density of states at the Fermi level is 0.858 states/eV/atom. Its formation enthalpy at 0 K is 44 kJ per mole of atoms. The energy relative to the lowest polymorph listed for this composition comes out at 0.63 eV per formula unit.


Record order is preserved below.
M_tot: 0.00, 1.27, 0.00, 0.00, 5.29, 7.30 Bohr magnetons per cell